[1]
# Ac8Ni3NCl3 PBE optimized geometry
# raw formation energy = -0.809 eV/atom
data_Ac8Ni3NCl3
_cell_length_a 8.4223
_cell_length_b 8.4497
_cell_length_c 9.0340
_cell_angle_alpha 62.83
_cell_angle_beta 62.73
_cell_angle_gamma 60.97
_space_group_name_H-M_alt 'P -1'
_space_group_IT_number 2
loop_
_space_group_symop_operation_xyz
'x,y,z'
'-x,-y,-z'
loop_
_atom_site_label
_atom_site_type_symbol
_atom_site_fract_x
_atom_site_fract_y
_atom_site_fract_z
Ac1 Ac 0.2135 0.2125 0.3053
Ac2 Ac 0.2336 0.7373 0.2901
Ac3 Ac 0.2544 0.7727 0.7058
Ac4 Ac 0.2664 0.2662 0.7039
Ni1 Ni 0.0000 0.5000 0.5000
Ni2 Ni 0.5000 0.0000 0.5000
Ni3 Ni 0.5000 0.5000 0.5000
N1 N 0.0000 0.0000 0.5000
Cl1 Cl 0.0000 0.0000 0.0000
Cl2 Cl 0.0000 0.5000 0.0000
Cl3 Cl 0.5000 0.0000 0.0000

[2]
# TiCuS2 PBE optimized geometry
# raw formation energy = -0.408 eV/atom
data_TiCuS2
_cell_length_a 6.1641
_cell_length_b 6.1641
_cell_length_c 6.1641
_cell_angle_alpha 90.00
_cell_angle_beta 90.00
_cell_angle_gamma 90.00
_space_group_name_H-M_alt 'F m -3 m'
_space_group_IT_number 225
_space_group_name_Hall '-F 4 2 3'
loop_
_atom_site_label
_atom_site_type_symbol
_atom_site_fract_x
_atom_site_fract_y
_atom_site_fract_z
Ti1 Ti 0.0000 0.0000 0.0000
Cu1 Cu 0.0000 0.0000 0.5000
S1 S 0.2500 0.2500 0.2500

[3]
# YPt2C PBE optimized geometry
# formation enthalpy at 0 K = 686 meV per atom
# distance to the lowest polymorph of the same formula = 0.8743 eV per atom
data_YPt2C
_cell_length_a 6.4737
_cell_length_b 6.4737
_cell_length_c 6.4737
_cell_angle_alpha 90.00
_cell_angle_beta 90.00
_cell_angle_gamma 90.00
_space_group_name_H-M_alt 'F m -3 m'
_space_group_IT_number 225
_space_group_name_Hall '-F 4 2 3'
loop_
_atom_site_label
_atom_site_type_symbol
_atom_site_fract_x
_atom_site_fract_y
_atom_site_fract_z
Y1 Y 0.0000 0.0000 0.0000
Pt1 Pt 0.2500 0.2500 0.2500
C1 C 0.0000 0.0000 0.5000

[4]
# Ba2PaTl3Se6 PBE optimized geometry
# raw formation energy = -1.286 eV/atom
data_Ba2PaTl3Se6
_cell_length_a 7.9683
_cell_length_b 13.7762
_cell_length_c 7.9984
_cell_angle_alpha 90.00
_cell_angle_beta 109.03
_cell_angle_gamma 90.00
_space_group_name_H-M_alt 'C 1 2/m 1'
_space_group_IT_number 12
loop_
_space_group_symop_operation_xyz
'x,y,z'
'-x,-y,-z'
'-x,y,-z'
'x,-y,z'
'x+1/2,y+1/2,z'
'-x+1/2,-y+1/2,-z'
'-x+1/2,y+1/2,-z'
'x+1/2,-y+1/2,z'
loop_
_atom_site_label
_atom_site_type_symbol
_atom_site_fract_x
_atom_site_fract_y
_atom_site_fract_z
Ba1 Ba 0.0000 0.1671 0.0000
Pa1 Pa 0.0000 0.5000 0.0000
Tl1 Tl 0.0000 0.0000 0.5000
Tl2 Tl 0.0000 0.3396 0.5000
Se1 Se 0.2152 0.3570 0.2133
Se2 Se 0.2158 0.5000 0.7785

[5]
# SrTbTlHg PBE optimized geometry
# formation enthalpy at 0 K = -451 meV per atom
# distance to the lowest polymorph of the same formula = 0.0000 eV per atom
data_SrTbTlHg
_cell_length_a 3.8580
_cell_length_b 3.8580
_cell_length_c 7.9987
_cell_angle_alpha 90.00
_cell_angle_beta 90.00
_cell_angle_gamma 90.00
_space_group_name_H-M_alt 'P 4 m m'
_space_group_IT_number 99
loop_
_space_group_symop_operation_xyz
'x,y,z'
'-y,x,z'
'-x,-y,z'
'y,-x,z'
'-x,y,z'
'y,x,z'
'x,-y,z'
'-y,-x,z'
loop_
_atom_site_label
_atom_site_type_symbol
_atom_site_fract_x
_atom_site_fract_y
_atom_site_fract_z
Sr1 Sr 0.0000 0.0000 0.0000
Tb1 Tb 0.0000 0.0000 0.5182
Tl1 Tl 0.5000 0.5000 0.2803
Hg1 Hg 0.5000 0.5000 0.7282

[6]
# ZrPtW2 PBE optimized geometry
# formation enthalpy at 0 K = 502 meV per atom
# distance to the lowest polymorph of the same formula = 0.6730 eV per atom
data_ZrPtW2
_cell_length_a 7.6168
_cell_length_b 7.6168
_cell_length_c 5.2641
_cell_angle_alpha 90.00
_cell_angle_beta 90.00
_cell_angle_gamma 90.00
_space_group_name_H-M_alt 'I -4 2 d'
_space_group_IT_number 122
_space_group_name_Hall 'I -4 2bw'
loop_
_atom_site_label
_atom_site_type_symbol
_atom_site_fract_x
_atom_site_fract_y
_atom_site_fract_z
Zr1 Zr 0.0000 0.0000 0.0000
Pt1 Pt 0.0000 0.0000 0.5000
W1 W 0.2213 0.2500 0.6250